1.
YNiMo3: optimized geometry, PBE-GGA.

Results
**Symmetry**: Pm-3m (221)
**E_form**: 1.003 eV/atom
**Uncorrected energy**: -7.945 eV/atom

Cell: 4.6107 4.6107 4.6107 Å, 90.00 90.00 90.00°
With the nearest neighbours (Å) after each atom.
Positions (direct):
Y: 0.5000 0.5000 0.5000  12 Mo 3.26
Mo: 0.0000 0.5000 0.0000  2 Ni 2.31
Mo: 0.5000 0.0000 0.0000  2 Ni 2.31
Mo: 0.0000 0.0000 0.5000  2 Ni 2.31
Ni: 0.0000 0.0000 0.0000  6 Mo 2.31

=====

2.
Pm2HfGe3Rh4: optimized geometry, PBE-GGA.

Results
**Symmetry**: P-4m2 (115)
**E_form**: -0.903 eV/atom
**Uncorrected energy**: -7.174 eV/atom

Cell: 4.1622 4.1622 10.9498 Å, 90.00 90.00 90.00°
With the nearest neighbours (Å) after each atom.
Positions (direct):
Pm: 0.5000 0.0000 0.2343  4 Ge 3.18, 8 Rh 3.22-3.30
Pm: 0.0000 0.5000 0.7657  4 Ge 3.18, 8 Rh 3.22-3.30
Rh: 0.5000 0.0000 0.6474  3 Ge 2.49-2.63, 2 Hf 2.63
Rh: 0.5000 0.5000 0.0000  4 Ge 2.49
Rh: 0.0000 0.5000 0.3526  3 Ge 2.49-2.63, 2 Hf 2.63
Rh: 0.0000 0.0000 0.0000  4 Ge 2.49
Ge: 0.5000 0.0000 0.8749  5 Rh 2.49
Ge: 0.0000 0.5000 0.1251  5 Rh 2.49
Ge: 0.0000 0.0000 0.5000  4 Rh 2.63, 4 Hf 2.94
Hf: 0.5000 0.5000 0.5000  4 Rh 2.63, 4 Ge 2.94

=====

| no. | DOS(E_F) (states/eV/cell) | total magnetic moment (μB/cell) |
| --- | --- | --- |
| 1 | 9.23 | 0.0 |
| 2 | 4.50 | 0.0 |